## HfMoS (PBE)

Data for crystalline HfMoS at its relaxed geometry.

## Properties
- Raw formation energy: -893 meV per atom
- N(E_F): 1.0 states/eV/f.u.
- E: -55.2 eV per cell

Unit cell a=3.379 b=3.379 c=9.713 alpha=90.00 beta=90.00 gamma=90.00
Fractional positions:
Hf 0.250 0.250 0.248
Hf 0.750 0.750 0.752
Mo 0.250 0.250 0.928
Mo 0.750 0.750 0.072
S 0.250 0.250 0.654
S 0.750 0.750 0.346